DFT (GGA-PBE) results for a relaxed SeBr3N crystal.

Output
The value obtained for the relative energy among the computed polymorphs is 0 meV/atom.

Cell: 13.8956 11.0663 8.6860 Å, 158.48 106.02 61.38°
With the nearest neighbours (Å) after each atom.
Fractional positions:
Se 0.9819 0.4551 0.6938  1 N 1.75
Se 0.3862 0.8447 0.3607  1 N 1.75
Br 0.1390 0.2439 0.3192  1 Se 2.39
Br 0.2292 0.0559 0.7353  1 Se 2.39
Br 0.5495 0.1202 0.3676  1 N 1.93
Br 0.5825 0.6618 0.3804  1 Se 2.58
Br 0.8186 0.1795 0.6869  1 N 1.93
Br 0.7857 0.6380 0.6740  1 Se 2.58
N 0.4115 0.3839 0.7676  1 Se 1.75, 1 Br 1.93
N 0.9566 0.9159 0.2869  1 Se 1.75, 1 Br 1.93

***

DFT (GGA-PBE) results for a relaxed LiCaSi crystal.

Cell: 4.8077 4.8077 4.8077 Å, 60.00 60.00 60.00°
With the nearest neighbours (Å) after each atom.
Fractional positions:
Ca 0.0000 0.0000 0.0000  4 Si 2.94
Li 0.5000 0.5000 0.5000  4 Si 2.94
Si 0.2500 0.2500 0.2500  4 Li 2.94, 4 Ca 2.94

***

DFT (GGA-PBE) results for a relaxed LaMgAsSe2 crystal.

Output
The value obtained for the relative energy among the computed polymorphs is 0 meV/atom.

Cell: 5.0706 5.0706 4.9256 Å, 90.00 90.00 90.00°
With the nearest neighbours (Å) after each atom.
Fractional positions:
As 0.0000 0.0000 0.5000  2 Mg 2.46
Mg 0.0000 0.0000 0.0000  2 As 2.46, 4 Se 2.54
Se 0.0000 0.5000 0.0000  2 Mg 2.54
Se 0.5000 0.0000 0.0000  2 Mg 2.54
La 0.5000 0.5000 0.5000  8 Se 3.53, 4 As 3.59

***

DFT (GGA-PBE) results for a relaxed Li3Ce2YSe6 crystal.

Cell: 7.2259 7.2259 6.9255 Å, 99.97 99.97 120.03°
With the nearest neighbours (Å) after each atom.
Fractional positions:
Li 0.1617 0.8383 0.5000  6 Se 2.82-2.97
Li 0.8383 0.1617 0.5000  6 Se 2.82-2.97
Li 0.5000 0.5000 0.5000  6 Se 2.85-2.92
Ce 0.3328 0.6672 0.0000  6 Se 2.95-2.96
Ce 0.6672 0.3328 0.0000  6 Se 2.95-2.96
Y 0.0000 0.0000 0.0000  6 Se 2.89
Se 0.9141 0.5883 0.7420  3 Li 2.85-2.97, 1 Y 2.89, 2 Ce 2.95-2.96
Se 0.7587 0.7587 0.2561  3 Li 2.82-2.92, 1 Y 2.89, 2 Ce 2.95
Se 0.0859 0.4117 0.2580  3 Li 2.85-2.97, 1 Y 2.89, 2 Ce 2.95-2.96
Se 0.5883 0.9141 0.7420  3 Li 2.85-2.97, 1 Y 2.89, 2 Ce 2.95-2.96
Se 0.2413 0.2413 0.7439  3 Li 2.82-2.92, 1 Y 2.89, 2 Ce 2.95
Se 0.4117 0.0859 0.2580  3 Li 2.85-2.97, 1 Y 2.89, 2 Ce 2.95-2.96

***

Formation energy without anion corrections: 0.397; -0.088; -0.741; -1.630 (eV/atom)